First-principles (GGA-PBE) data for a geometry-optimized BaSrH2F6 structure, as listed in Alexandria via LeMat-Bulk.

a b c (Å): 6.440 6.440 7.758
angles (deg): 111.31 111.31 94.69
Fractional positions:
Ba 0.099 0.901 0.750
Ba 0.901 0.099 0.250
Sr 0.340 0.660 0.250
Sr 0.660 0.340 0.750
H 0.142 0.428 0.741
H 0.428 0.142 0.241
H 0.572 0.858 0.759
H 0.858 0.572 0.259
F 0.018 0.261 0.990
F 0.046 0.568 0.372
F 0.261 0.018 0.490
F 0.312 0.434 0.842
F 0.432 0.954 0.128
F 0.434 0.312 0.342
F 0.566 0.688 0.658
F 0.568 0.046 0.872
F 0.688 0.566 0.158
F 0.739 0.982 0.510
F 0.954 0.432 0.628
F 0.982 0.739 0.010

Results
V, Å³ per cell: 270.6
Density of states at the Fermi level, states/eV per cell: 0.000
DFT total energy, eV/atom: -5.143

---

First-principles (GGA-PBE) data for a geometry-optimized Ta5PbS8 structure, as listed in Alexandria via LeMat-Bulk.

a b c (Å): 8.980 8.980 9.472
angles (deg): 106.11 106.11 21.13
Fractional positions:
Ta 0.000 0.000 0.000
Ta 0.025 0.025 0.367
Ta 0.374 0.374 0.358
Ta 0.423 0.423 0.742
Ta 0.724 0.724 0.361
Pb 0.205 0.205 0.824
S 0.126 0.126 0.214
S 0.291 0.291 0.544
S 0.456 0.456 0.175
S 0.564 0.564 0.877
S 0.622 0.622 0.518
S 0.792 0.792 0.174
S 0.860 0.860 0.866
S 0.956 0.956 0.556

Results
E_form (uncorrected), eV per atom: -0.9031
V, Å³ per cell: 264.1
Density of states at the Fermi level, states/eV per cell: 7.133
DFT total energy, eV/atom: -7.760

---

First-principles (GGA-PBE) data for a geometry-optimized SrH4Pt structure, as listed in Alexandria via LeMat-Bulk.

a b c (Å): 4.784 4.784 4.784
angles (deg): 127.63 118.22 85.21
Fractional positions:
Sr 0.000 0.000 0.000
H 0.094 0.337 0.757
H 0.420 0.663 0.757
H 0.580 0.337 0.243
H 0.906 0.663 0.243
Pt 0.500 0.500 0.000

Results
V, Å³ per cell: 73.0
Density of states at the Fermi level, states/eV per cell: 0.000
DFT total energy, eV/atom: -4.066

---

First-principles (GGA-PBE) data for a geometry-optimized NaGe structure, as listed in Alexandria via LeMat-Bulk.

a b c (Å): 3.923 5.428 5.856
angles (deg): 66.81 70.47 69.01
Fractional positions:
Na 0.087 0.142 0.189
Na 0.913 0.858 0.811
Ge 0.274 0.356 0.595
Ge 0.726 0.644 0.405

Results
V, Å³ per cell: 104.3
E_form, eV per atom: -0.0637
Density of states at the Fermi level, states/eV per cell: 0.753
DFT total energy, eV/atom: -3.032

---

First-principles (GGA-PBE) data for a geometry-optimized LuHgPb structure, as listed in Alexandria via LeMat-Bulk.

a b c (Å): 5.005 5.005 3.652
angles (deg): 90.00 90.00 120.00
Fractional positions:
Lu 0.000 0.000 0.000
Hg 0.333 0.667 0.737
Pb 0.667 0.333 0.416

Results
V, Å³ per cell: 79.2
E_form, eV per atom: -0.2503
Density of states at the Fermi level, states/eV per cell: 1.438
E above lowest polymorph, kJ per mole of atoms: 0.0
DFT total energy, eV/atom: -3.094

---

First-principles (GGA-PBE) data for a geometry-optimized LiCuPd2F6 structure, as listed in Alexandria via LeMat-Bulk.

a b c (Å): 5.442 5.539 5.794
angles (deg): 114.21 93.24 119.21
Fractional positions:
Li 0.000 0.000 0.000
Cu 0.527 0.005 0.458
Pd 0.317 0.589 0.870
Pd 0.815 0.598 0.375
F 0.131 0.819 0.174
F 0.260 0.807 0.641
F 0.372 0.409 0.133
F 0.642 0.510 0.694
F 0.734 0.095 0.183
F 0.893 0.087 0.658

Results
E_form (uncorrected), eV per atom: -1.4223
V, Å³ per cell: 131.6
Density of states at the Fermi level, states/eV per cell: 4.790
DFT total energy, eV/atom: -4.185

---

First-principles (GGA-PBE) data for a geometry-optimized BeAl2H6 structure, as listed in Alexandria via LeMat-Bulk.

a b c (Å): 4.377 4.377 4.377
angles (deg): 60.00 60.00 60.00
Fractional positions:
Be 0.000 0.000 0.000
Al 0.250 0.250 0.250
Al 0.750 0.750 0.750
H 0.255 0.255 0.745
H 0.255 0.745 0.255
H 0.255 0.745 0.745
H 0.745 0.255 0.255
H 0.745 0.255 0.745
H 0.745 0.745 0.255

Results
V, Å³ per cell: 59.3
Density of states at the Fermi level, states/eV per cell: 2.308
DFT total energy, eV/atom: -3.113

---

First-principles (GGA-PBE) data for a geometry-optimized K3Dy3ScS8 structure, as listed in Alexandria via LeMat-Bulk.

a b c (Å): 8.792 8.792 8.792
angles (deg): 53.56 53.56 53.56
Fractional positions:
K 0.000 0.500 0.500
K 0.500 0.000 0.500
K 0.500 0.500 0.000
Dy 0.000 0.000 0.500
Dy 0.000 0.500 0.000
Dy 0.500 0.000 0.000
Sc 0.500 0.500 0.500
S 0.234 0.234 0.234
S 0.244 0.724 0.724
S 0.276 0.276 0.756
S 0.276 0.756 0.276
S 0.724 0.244 0.724
S 0.724 0.724 0.244
S 0.756 0.276 0.276
S 0.766 0.766 0.766

Results
E_form (uncorrected), eV per atom: -1.7623
V, Å³ per cell: 408.3
Density of states at the Fermi level, states/eV per cell: 10.304
DFT total energy, eV/atom: -5.526

---

First-principles (GGA-PBE) data for a geometry-optimized ZnCrP2 structure, as listed in Alexandria via LeMat-Bulk.

a b c (Å): 6.368 6.368 6.368
angles (deg): 153.83 149.49 40.62
Fractional positions:
Zn 0.000 0.000 0.000
Cr 0.234 0.734 0.500
P 0.384 0.384 0.000
P 0.664 0.164 0.500

Results
V, Å³ per cell: 57.7
E_form, eV per atom: -0.0375
Density of states at the Fermi level, states/eV per cell: 2.573
DFT total energy, eV/atom: -5.467

---

First-principles (GGA-PBE) data for a geometry-optimized ZnCd3Ag2 structure, as listed in Alexandria via LeMat-Bulk.

a b c (Å): 9.305 9.305 9.691
angles (deg): 120.09 120.09 18.72
Fractional positions:
Zn 0.097 0.097 0.199
Zn 0.903 0.903 0.801
Cd 0.116 0.116 0.743
Cd 0.240 0.240 0.622
Cd 0.438 0.438 0.575
Cd 0.562 0.562 0.425
Cd 0.760 0.760 0.378
Cd 0.884 0.884 0.257
Ag 0.216 0.216 0.088
Ag 0.447 0.447 0.075
Ag 0.553 0.553 0.925
Ag 0.784 0.784 0.912

Results
V, Å³ per cell: 231.9
E_form, eV per atom: -0.0109
Density of states at the Fermi level, states/eV per cell: 2.370
E above lowest polymorph, kJ per mole of atoms: 0.0
DFT total energy, eV/atom: -1.631

---

- The lowest V belongs to which entry?
  ZnCrP2